The following is a PBE+U calculation of TlCoF2 after structural relaxation, from the Alexandria database.

Cell lengths 4.7993, 4.7993, 7.2358 Å; angles 70.63, 70.63, 90.00 degrees
Atoms (fractional coordinates):
Co1 0.2500 0.7500 0.5000
Co2 0.5000 0.5000 0.0000
F1 0.4947 0.1250 0.2500
F2 0.8750 0.7447 0.7500
F3 0.3750 0.5053 0.7500
F4 0.2553 0.6250 0.2500
Tl1 0.7500 0.2500 0.5000
Tl2 0.0000 0.0000 0.0000

Results
Space-group type: I-42d
Polymorph energy (0 for the lowest one) (eV per formula unit): 0.94
Magnetization (μB per formula unit): 2.0
Mass density (g/cm3): 6.80
Total energy (eV per atom): -4.04